Entry from OQMD: a relaxed structure of Sm2Fe14C (PBE-GGA).

Calculated values
total magnetization	121.073	μB per cell
DFT total energy	-135.61	eV/f.u.

a b c (Å): 8.7439 8.7439 11.8343
angles (deg): 90.00 90.00 90.00
Fractional positions:
Sm (0.1433, 0.1433, 0.0000)
Sm (0.2393, 0.2393, 0.5000)
Sm (0.2607, 0.7393, 0.0000)
Sm (0.3567, 0.6433, 0.5000)
Sm (0.6433, 0.3567, 0.5000)
Sm (0.7393, 0.2607, 0.0000)
Sm (0.7607, 0.7607, 0.5000)
Sm (0.8567, 0.8567, 0.0000)
Fe (0.0000, 0.0000, 0.3923)
Fe (0.0000, 0.0000, 0.6077)
Fe (0.0000, 0.5000, 0.0000)
Fe (0.0000, 0.5000, 0.5000)
Fe (0.0360, 0.6411, 0.1764)
Fe (0.0360, 0.6411, 0.8236)
Fe (0.0654, 0.7252, 0.3791)
Fe (0.0654, 0.7252, 0.6209)
Fe (0.0975, 0.9025, 0.2066)
Fe (0.0975, 0.9025, 0.7934)
Fe (0.1411, 0.4640, 0.3236)
Fe (0.1411, 0.4640, 0.6764)
Fe (0.1834, 0.1834, 0.2548)
Fe (0.1834, 0.1834, 0.7452)
Fe (0.2252, 0.4346, 0.1209)
Fe (0.2252, 0.4346, 0.8791)
Fe (0.2748, 0.9346, 0.3791)
Fe (0.2748, 0.9346, 0.6209)
Fe (0.3166, 0.6834, 0.2452)
Fe (0.3166, 0.6834, 0.7548)
Fe (0.3589, 0.9640, 0.1764)
Fe (0.3589, 0.9640, 0.8236)
Fe (0.4025, 0.4025, 0.2934)
Fe (0.4025, 0.4025, 0.7066)
Fe (0.4346, 0.2252, 0.1209)
Fe (0.4346, 0.2252, 0.8791)
Fe (0.4640, 0.1411, 0.3236)
Fe (0.4640, 0.1411, 0.6764)
Fe (0.5000, 0.0000, 0.0000)
Fe (0.5000, 0.0000, 0.5000)
Fe (0.5000, 0.5000, 0.1077)
Fe (0.5000, 0.5000, 0.8923)
Fe (0.5360, 0.8589, 0.3236)
Fe (0.5360, 0.8589, 0.6764)
Fe (0.5654, 0.7748, 0.1209)
Fe (0.5654, 0.7748, 0.8791)
Fe (0.5975, 0.5975, 0.2934)
Fe (0.5975, 0.5975, 0.7066)
Fe (0.6411, 0.0360, 0.1764)
Fe (0.6411, 0.0360, 0.8236)
Fe (0.6834, 0.3166, 0.2452)
Fe (0.6834, 0.3166, 0.7548)
Fe (0.7252, 0.0654, 0.3791)
Fe (0.7252, 0.0654, 0.6209)
Fe (0.7748, 0.5654, 0.1209)
Fe (0.7748, 0.5654, 0.8791)
Fe (0.8166, 0.8166, 0.2548)
Fe (0.8166, 0.8166, 0.7452)
Fe (0.8589, 0.5360, 0.3236)
Fe (0.8589, 0.5360, 0.6764)
Fe (0.9025, 0.0975, 0.2066)
Fe (0.9025, 0.0975, 0.7934)
Fe (0.9346, 0.2748, 0.3791)
Fe (0.9346, 0.2748, 0.6209)
Fe (0.9640, 0.3589, 0.1764)
Fe (0.9640, 0.3589, 0.8236)
C (0.1255, 0.8745, 0.5000)
C (0.3745, 0.3745, 0.0000)
C (0.6255, 0.6255, 0.0000)
C (0.8745, 0.1255, 0.5000)

***

Entry from OQMD: a relaxed structure of RbPrCdSe3 (PBE-GGA).

Calculated values
E above lowest polymorph	0.256	eV per formula unit
total magnetization	0.015	μB per cell

a b c (Å): 12.0760 4.5255 13.1934
angles (deg): 90.00 90.00 90.00
Fractional positions:
Rb (0.1675, 0.2500, 0.0049)
Rb (0.3325, 0.7500, 0.5049)
Rb (0.6675, 0.2500, 0.4951)
Rb (0.8325, 0.7500, 0.9951)
Pr (0.0256, 0.2500, 0.3291)
Pr (0.4744, 0.7500, 0.8291)
Pr (0.5256, 0.2500, 0.1709)
Pr (0.9744, 0.7500, 0.6709)
Cd (0.2444, 0.2500, 0.7113)
Cd (0.2556, 0.7500, 0.2113)
Cd (0.7444, 0.2500, 0.7887)
Cd (0.7556, 0.7500, 0.2887)
Se (0.0398, 0.7500, 0.1766)
Se (0.0972, 0.2500, 0.5610)
Se (0.2197, 0.7500, 0.8170)
Se (0.2803, 0.2500, 0.3170)
Se (0.4028, 0.7500, 0.0610)
Se (0.4602, 0.2500, 0.6766)
Se (0.5398, 0.7500, 0.3234)
Se (0.5972, 0.2500, 0.9390)
Se (0.7197, 0.7500, 0.6830)
Se (0.7803, 0.2500, 0.1830)
Se (0.9028, 0.7500, 0.4390)
Se (0.9602, 0.2500, 0.8234)

***

Look up the total magnetization of the second one. 0.015 μB per cell

***

Which of these has the lowest total magnetization? RbPrCdSe3